[1]
## LiSn2Bi2 (PBE)

Data for crystalline LiSn2Bi2 at its relaxed geometry.

```
data_LiSn2Bi2
_cell_length_a 8.521
_cell_length_b 8.521
_cell_length_c 4.141
_cell_angle_alpha 90.00
_cell_angle_beta 90.00
_cell_angle_gamma 90.00
_symmetry_space_group_name_H-M 'P 4/m b m'
_symmetry_Int_Tables_number 127
_symmetry_space_group_name_Hall '-P 4 2ab'
loop_
_atom_site_label
_atom_site_fract_x
_atom_site_fract_y
_atom_site_fract_z
Li1 0.000 0.000 0.000
Sn1 0.142 0.358 0.000
Bi1 0.155 0.655 0.500
```

Computed properties:
**DOS at the Fermi energy**: 0.53 states/eV per atom
**Calculated formation energy**: 21 meV per atom

[2]
## Mg2CdSe3 (PBE)

Data for crystalline Mg2CdSe3 at its relaxed geometry.

```
data_Mg2CdSe3
_cell_length_a 7.420
_cell_length_b 12.859
_cell_length_c 7.430
_cell_angle_alpha 90.00
_cell_angle_beta 109.56
_cell_angle_gamma 90.00
_symmetry_space_group_name_H-M 'C 1 c 1'
_symmetry_Int_Tables_number 9
_symmetry_space_group_name_Hall 'C -2yc'
loop_
_atom_site_label
_atom_site_fract_x
_atom_site_fract_y
_atom_site_fract_z
Mg1 0.000 0.083 0.000
Mg2 0.498 0.251 0.000
Cd1 0.498 0.085 0.499
Se1 0.114 0.083 0.371
Se2 0.127 0.244 0.871
Se3 0.129 0.412 0.382
```

Computed properties:
**DOS at the Fermi energy**: 0.00 states/eV per atom
**ΔE_f (raw)**: -1.05 eV per atom

[3]
## MgFeTc2 (PBE)

Data for crystalline MgFeTc2 at its relaxed geometry.

```
data_MgFeTc2
_cell_length_a 2.7629
_cell_length_b 2.7629
_cell_length_c 26.9837
_cell_angle_alpha 90.00
_cell_angle_beta 90.00
_cell_angle_gamma 120.00
_symmetry_space_group_name_H-M 'R 3 m'
_symmetry_Int_Tables_number 160
_symmetry_space_group_name_Hall 'R 3 -2"'
loop_
_atom_site_label
_atom_site_fract_x
_atom_site_fract_y
_atom_site_fract_z
Mg1 0.0000 0.0000 0.0000
Fe1 0.0000 0.0000 0.2485
Tc1 0.0000 0.0000 0.5009
Tc2 0.0000 0.0000 0.7569
```

Computed properties:
**DOS at the Fermi energy**: 0.81 states/eV per atom
**Calculated formation energy**: 191 meV per atom